# 1
Entry from Alexandria via LeMat-Bulk: a relaxed structure of NaCd4In3 (GGA-PBE).

abc: 3.224 5.847 10.836
angles: 102.19 98.23 90.03
Sites, in units of the cell vectors:
Na 0.000 0.000 0.000
Cd 0.132 0.802 0.256
Cd 0.254 0.251 0.506
Cd 0.746 0.749 0.494
Cd 0.868 0.198 0.744
In 0.372 0.708 0.743
In 0.500 0.500 0.000
In 0.628 0.292 0.257

Output
Polymorph energy (0 for the lowest one): 0.0 meV/atom
VASP energy: -13.3 eV per cell
ΔH_f (0 K): -14.2 kJ/mol of formula units

=====

# 2
Entry from Alexandria via LeMat-Bulk: a relaxed structure of CaInCu (GGA-PBE).

abc: 4.298 5.368 6.611
angles: 101.55 108.88 90.00
Sites, in units of the cell vectors:
Ca 0.122 0.312 0.244
Ca 0.878 0.688 0.756
In 0.413 0.211 0.828
In 0.587 0.789 0.172
Cu 0.219 0.871 0.437
Cu 0.781 0.129 0.563

Output
VASP energy: -19.4 eV per cell
ΔH_f (0 K): -83.2 kJ/mol of formula units

=====

# 3
Entry from Alexandria via LeMat-Bulk: a relaxed structure of Ce3Si3Tc (GGA-PBE).

abc: 5.769 5.769 13.794
angles: 109.51 109.51 43.82
Sites, in units of the cell vectors:
Ce 0.032 0.032 0.270
Ce 0.180 0.180 0.577
Ce 0.350 0.350 0.868
Ce 0.650 0.650 0.132
Ce 0.820 0.820 0.423
Ce 0.968 0.968 0.730
Si 0.093 0.093 0.960
Si 0.328 0.328 0.264
Si 0.466 0.466 0.577
Si 0.534 0.534 0.423
Si 0.672 0.672 0.736
Si 0.907 0.907 0.040
Tc 0.328 0.328 0.083
Tc 0.672 0.672 0.917

Output
Polymorph energy (0 for the lowest one): 0.0 meV/atom
Formation energy (no corrections): -0.635 eV/atom
VASP energy: -97.8 eV per cell

=====

# 4
Entry from Alexandria via LeMat-Bulk: a relaxed structure of MgVIn3 (GGA-PBE).

abc: 5.192 5.192 5.192
angles: 90.00 90.00 90.00
Sites, in units of the cell vectors:
Mg 0.000 0.000 0.000
V 0.500 0.500 0.500
In 0.000 0.500 0.500
In 0.500 0.000 0.500
In 0.500 0.500 0.000

Output
Polymorph energy (0 for the lowest one): 0.0 meV/atom
VASP energy: -16.4 eV per cell
ΔH_f (0 K): 245.7 kJ/mol of formula units

=====

# 5
Entry from Alexandria via LeMat-Bulk: a relaxed structure of RbZnSiIr2 (GGA-PBE).

abc: 4.524 4.524 5.976
angles: 90.00 90.00 90.00
Sites, in units of the cell vectors:
Rb 0.000 0.000 0.000
Zn 0.500 0.500 0.000
Si 0.000 0.000 0.500
Ir 0.000 0.500 0.500
Ir 0.500 0.000 0.500

Output
Formation energy (no corrections): 0.774 eV/atom
VASP energy: -21.5 eV per cell

=====

# 6
Entry from Alexandria via LeMat-Bulk: a relaxed structure of PmPaAlCu (GGA-PBE).

abc: 5.051 5.051 5.051
angles: 60.00 60.00 60.00
Sites, in units of the cell vectors:
Pm 0.000 0.000 0.000
Pa 0.500 0.500 0.500
Al 0.750 0.750 0.750
Cu 0.250 0.250 0.250

Output
VASP energy: -21.9 eV per cell
ΔH_f (0 K): 21.9 kJ/mol of formula units

=====

no.,total magnetization (μB/cell)
1,0.0
2,0.0
3,4.3
4,0.0
5,0.4
6,0.0